Material: Tm2S3
Method: DFT, GGA-PBEsol
State: relaxed

Lattice parameters (Å, degrees): 9.945 3.909 17.209 90.00 98.67 90.00
Sites, in units of the cell vectors:
Tm1 0.015 0.250 0.101
Tm2 0.050 0.750 0.615
Tm3 0.310 0.250 0.478
Tm4 0.312 0.250 0.779
Tm5 0.331 0.750 0.281
Tm6 0.376 0.250 0.070
Tm7 0.624 0.750 0.930
Tm8 0.669 0.250 0.719
Tm9 0.688 0.750 0.221
Tm10 0.690 0.750 0.522
Tm11 0.950 0.250 0.385
Tm12 0.985 0.750 0.899
S1 0.114 0.750 0.467
S2 0.133 0.250 0.968
S3 0.136 0.750 0.781
S4 0.180 0.250 0.317
S5 0.212 0.750 0.131
S6 0.234 0.250 0.626
S7 0.446 0.250 0.925
S8 0.453 0.750 0.424
S9 0.493 0.250 0.232
S10 0.507 0.750 0.768
S11 0.547 0.250 0.576
S12 0.554 0.750 0.075
S13 0.766 0.750 0.374
S14 0.788 0.250 0.869
S15 0.820 0.750 0.683
S16 0.864 0.250 0.219
S17 0.867 0.750 0.032
S18 0.886 0.250 0.533

Summary:
- Space-group type: P2_1/m, No. 11
- Formation energy without anion corrections: -2.1099 eV per atom
- Total magnetic moment: 0.000 μB per atom

Material: TmS
Method: DFT, GGA-PBEsol
State: relaxed

Lattice parameters (Å, degrees): 5.358 5.358 5.358 90.00 90.00 90.00
Sites, in units of the cell vectors:
Tm1 0.000 0.000 0.000
Tm2 0.000 0.500 0.500
Tm3 0.500 0.000 0.500
Tm4 0.500 0.500 0.000
S1 0.000 0.000 0.500
S2 0.000 0.500 0.000
S3 0.500 0.000 0.000
S4 0.500 0.500 0.500

Summary:
- Space-group type: Fm-3m, No. 225
- Formation energy without anion corrections: -2.0608 eV per atom
- Total magnetic moment: 0.000 μB per atom